(1)
Below is a relaxed AcLaCuRu crystal, with properties calculated at the PBE level.

Calculated values
The calculation puts the total energy at -5.72 eV/atom. The value obtained for the energy of formation from the pure elements is -44 kJ/mol of formula units.

Structure (CIF):
```
data_AcLaCuRu
_chemical_formula_sum 'Ac4 La4 Cu4 Ru4'
_space_group_name_H-M_alt 'F -4 3 m'
_space_group_IT_number 216
_space_group_name_Hall 'F -4 2 3'
_cell_length_a 7.3291
_cell_length_b 7.3291
_cell_length_c 7.3291
_cell_angle_alpha 90.00
_cell_angle_beta 90.00
_cell_angle_gamma 90.00
loop_
_atom_site_label
_atom_site_type_symbol
_atom_site_fract_x
_atom_site_fract_y
_atom_site_fract_z
_atom_site_occupancy
Ac1 Ac 0.0000 0.0000 0.0000 1
La1 La 0.0000 0.0000 0.5000 1
Cu1 Cu 0.2500 0.2500 0.2500 1
Ru1 Ru 0.2500 0.2500 0.7500 1
```

(2)
Below is a relaxed ErGa4CuRu2 crystal, with properties calculated at the PBE level.

Calculated values
The calculation puts the total energy at -5.24 eV/atom. The value obtained for the energy of formation from the pure elements is -251 kJ/mol of formula units.

Structure (CIF):
```
data_ErGa4CuRu2
_chemical_formula_sum 'Er3 Ga12 Cu3 Ru6'
_space_group_name_H-M_alt 'R -3 m'
_space_group_IT_number 166
_space_group_name_Hall '-R 3 2"'
_cell_length_a 4.2470
_cell_length_b 4.2470
_cell_length_c 25.1356
_cell_angle_alpha 90.00
_cell_angle_beta 90.00
_cell_angle_gamma 120.00
loop_
_atom_site_label
_atom_site_type_symbol
_atom_site_fract_x
_atom_site_fract_y
_atom_site_fract_z
_atom_site_occupancy
Er1 Er 0.0000 0.0000 0.0000 1
Ga1 Ga 0.0000 0.0000 0.1288 1
Ga2 Ga 0.0000 0.0000 0.3970 1
Cu1 Cu 0.0000 0.0000 0.5000 1
Ru1 Ru 0.0000 0.0000 0.2318 1
```

(3)
Below is a relaxed La2NdSmDy5 crystal, with properties calculated at the PBE level.

Calculated values
The calculation puts the total energy at -4.46 eV/atom. The value obtained for the energy of formation from the pure elements is 211 kJ/mol of formula units.

Structure (CIF):
```
data_La2NdSmDy5
_chemical_formula_sum 'La8 Nd4 Sm4 Dy20'
_space_group_name_H-M_alt 'I 4/m c m'
_space_group_IT_number 140
_space_group_name_Hall '-I 4 2c'
_cell_length_a 8.6918
_cell_length_b 8.6918
_cell_length_c 15.9013
_cell_angle_alpha 90.00
_cell_angle_beta 90.00
_cell_angle_gamma 90.00
loop_
_atom_site_label
_atom_site_type_symbol
_atom_site_fract_x
_atom_site_fract_y
_atom_site_fract_z
_atom_site_occupancy
La1 La 0.1181 0.3819 0.0000 1
Nd1 Nd 0.0000 0.5000 0.2500 1
Sm1 Sm 0.0000 0.0000 0.2500 1
Dy1 Dy 0.0000 0.0000 0.0000 1
Dy2 Dy 0.2133 0.2867 0.3594 1
```

(4)
Below is a relaxed TiRe3B crystal, with properties calculated at the PBE level.

Calculated values
The calculation puts the total energy at -10.37 eV/atom. The value obtained for the energy of formation from the pure elements is 7 kJ/mol of formula units.

Structure (CIF):
```
data_TiRe3B
_chemical_formula_sum 'Ti1 Re3 B1'
_space_group_name_H-M_alt 'P m -3 m'
_space_group_IT_number 221
_space_group_name_Hall '-P 4 2 3'
_cell_length_a 4.1370
_cell_length_b 4.1370
_cell_length_c 4.1370
_cell_angle_alpha 90.00
_cell_angle_beta 90.00
_cell_angle_gamma 90.00
loop_
_atom_site_label
_atom_site_type_symbol
_atom_site_fract_x
_atom_site_fract_y
_atom_site_fract_z
_atom_site_occupancy
Ti1 Ti 0.0000 0.0000 0.0000 1
Re1 Re 0.0000 0.5000 0.5000 1
B1 B 0.5000 0.5000 0.5000 1
```

(5)
Below is a relaxed PmTm3Mg4 crystal, with properties calculated at the PBE level.

Calculated values
The calculation puts the total energy at -3.14 eV/atom. The value obtained for the energy of formation from the pure elements is -54 kJ/mol of formula units.

Structure (CIF):
```
data_PmTm3Mg4
_chemical_formula_sum 'Pm1 Tm3 Mg4'
_space_group_name_H-M_alt 'P 4/m m m'
_space_group_IT_number 123
_space_group_name_Hall '-P 4 2'
_cell_length_a 5.3378
_cell_length_b 5.3378
_cell_length_c 7.5749
_cell_angle_alpha 90.00
_cell_angle_beta 90.00
_cell_angle_gamma 90.00
loop_
_atom_site_label
_atom_site_type_symbol
_atom_site_fract_x
_atom_site_fract_y
_atom_site_fract_z
_atom_site_occupancy
Pm1 Pm 0.0000 0.0000 0.0000 1
Tm1 Tm 0.0000 0.0000 0.5000 1
Tm2 Tm 0.5000 0.5000 0.0000 1
Tm3 Tm 0.5000 0.5000 0.5000 1
Mg1 Mg 0.0000 0.5000 0.2544 1
```

(6)
Below is a relaxed K2RbSrPt crystal, with properties calculated at the PBE level.

Calculated values
The calculation puts the total energy at -2.26 eV/atom. The value obtained for the energy of formation from the pure elements is -39 kJ/mol of formula units.

Structure (CIF):
```
data_K2RbSrPt
_chemical_formula_sum 'K2 Rb1 Sr1 Pt1'
_space_group_name_H-M_alt 'P 4/m m m'
_space_group_IT_number 123
_space_group_name_Hall '-P 4 2'
_cell_length_a 6.6146
_cell_length_b 6.6146
_cell_length_c 5.8968
_cell_angle_alpha 90.00
_cell_angle_beta 90.00
_cell_angle_gamma 90.00
loop_
_atom_site_label
_atom_site_type_symbol
_atom_site_fract_x
_atom_site_fract_y
_atom_site_fract_z
_atom_site_occupancy
K1 K 0.0000 0.5000 0.0000 1
Rb1 Rb 0.0000 0.0000 0.5000 1
Sr1 Sr 0.5000 0.5000 0.5000 1
Pt1 Pt 0.5000 0.5000 0.0000 1
```

(7)
Below is a relaxed CaBeCl2 crystal, with properties calculated at the PBE level.

Calculated values
The calculation puts the total energy at -3.41 eV/atom. The calculation puts the uncorrected formation energy at -4.202 eV/f.u.

Structure (CIF):
```
data_CaBeCl2
_chemical_formula_sum 'Ca2 Be2 Cl4'
_space_group_name_H-M_alt 'C 1 m 1'
_space_group_IT_number 8
_cell_length_a 18.2955
_cell_length_b 3.3312
_cell_length_c 3.4782
_cell_angle_alpha 90.00
_cell_angle_beta 96.25
_cell_angle_gamma 90.00
loop_
_space_group_symop_operation_xyz
'x,y,z'
'x,-y,z'
'x+1/2,y+1/2,z'
'x+1/2,-y+1/2,z'
loop_
_atom_site_label
_atom_site_type_symbol
_atom_site_fract_x
_atom_site_fract_y
_atom_site_fract_z
_atom_site_occupancy
Ca1 Ca 0.0000 0.0000 0.0000 1
Be1 Be 0.1257 0.5000 0.5711 1
Cl1 Cl 0.1931 0.0000 0.6090 1
Cl2 Cl 0.4189 0.0000 0.4535 1
```

(8)
Below is a relaxed AsOsCl2 crystal, with properties calculated at the PBE level.

Calculated values
The calculation puts the total energy at -3.61 eV/atom. The calculation puts the uncorrected formation energy at 5.129 eV/f.u.

Structure (CIF):
```
data_AsOsCl2
_chemical_formula_sum 'As4 Os4 Cl8'
_space_group_name_H-M_alt 'F m -3 m'
_space_group_IT_number 225
_space_group_name_Hall '-F 4 2 3'
_cell_length_a 6.5191
_cell_length_b 6.5191
_cell_length_c 6.5191
_cell_angle_alpha 90.00
_cell_angle_beta 90.00
_cell_angle_gamma 90.00
loop_
_atom_site_label
_atom_site_type_symbol
_atom_site_fract_x
_atom_site_fract_y
_atom_site_fract_z
_atom_site_occupancy
As1 As 0.0000 0.0000 0.0000 1
Os1 Os 0.0000 0.0000 0.5000 1
Cl1 Cl 0.2500 0.2500 0.2500 1
```